[1]
{
  "formula": "TlSiAu",
  "functional": "GGA-PBE",
  "state": "relaxed",
  "lattice": [[4.5364, 0.0000, 0.0000], [-2.1564, 5.3429, 0.0000], [-0.0152, -1.8399, 6.1054]],
  "species": ["Tl", "Tl", "Si", "Si", "Au", "Au"],
  "fractional_positions": [[0.0000, 0.0000, 0.0000], [0.2889, 0.5802, 0.6606], [0.5850, 0.1374, 0.3642], [0.7063, 0.4486, 0.1664], [0.3085, 0.6648, 0.2208], [0.6298, 0.2548, 0.7619]],
  "total_magnetization_mub_per_cell": 0.000,
  "e_form_raw_mev_per_atom": 81
}

***

[2]
{
  "formula": "BiPt",
  "functional": "GGA-PBE",
  "state": "relaxed",
  "lattice": [[5.3578, 0.0000, 0.0000], [0.0000, 8.3961, 0.0000], [0.0000, 0.0000, 8.6332]],
  "species": ["Bi", "Bi", "Bi", "Bi", "Bi", "Bi", "Bi", "Bi", "Pt", "Pt", "Pt", "Pt", "Pt", "Pt", "Pt", "Pt"],
  "fractional_positions": [[0.1521, 0.2055, 0.1600], [0.1754, 0.3880, 0.5821], [0.3246, 0.6120, 0.0821], [0.3479, 0.7945, 0.6600], [0.6521, 0.2945, 0.8400], [0.6754, 0.1120, 0.4179], [0.8246, 0.8880, 0.9179], [0.8479, 0.7055, 0.3400], [0.0166, 0.5965, 0.8193], [0.1752, 0.9693, 0.4067], [0.3248, 0.0307, 0.9067], [0.4834, 0.4035, 0.3193], [0.5166, 0.9035, 0.1807], [0.6752, 0.5307, 0.5933], [0.8248, 0.4693, 0.0933], [0.9834, 0.0965, 0.6807]],
  "total_magnetization_mub_per_cell": 0.000,
  "ef_mev_per_atom": -126
}

***

[3]
{
  "formula": "Mg4Si3",
  "functional": "GGA-PBE",
  "state": "relaxed",
  "lattice": [[5.8457, 0.0000, 0.0000], [-2.2953, 6.4117, 0.0000], [-1.1044, -3.4221, 7.2270]],
  "species": ["Mg", "Mg", "Mg", "Mg", "Mg", "Mg", "Mg", "Mg", "Si", "Si", "Si", "Si", "Si", "Si"],
  "fractional_positions": [[0.0268, 0.1165, 0.2193], [0.0981, 0.7732, 0.3493], [0.4188, 0.7284, 0.9494], [0.4366, 0.2953, 0.6538], [0.5634, 0.7047, 0.3462], [0.5812, 0.2716, 0.0506], [0.9019, 0.2268, 0.6507], [0.9732, 0.8835, 0.7807], [0.1253, 0.3873, 0.0268], [0.2198, 0.5327, 0.5395], [0.4807, 0.9325, 0.7084], [0.5193, 0.0675, 0.2916], [0.7802, 0.4673, 0.4605], [0.8747, 0.6127, 0.9732]],
  "total_magnetization_mub_per_cell": 0.000,
  "relative_energy_ev_per_atom": 0.062,
  "e_form_raw_mev_per_atom": 30
}

***

[4]
{
  "formula": "CaIr2Br",
  "functional": "GGA-PBE",
  "state": "relaxed",
  "lattice": [[3.8189, -1.9149, 0.0000], [3.8189, 1.9149, 0.0000], [-2.2090, 0.0000, 7.7014]],
  "species": ["Ca", "Ir", "Ir", "Br"],
  "fractional_positions": [[0.0000, 0.0000, 0.0000], [0.4425, 0.4425, 0.2980], [0.7499, 0.7499, 0.2933], [0.2537, 0.2537, 0.7856]],
  "total_magnetization_mub_per_cell": 0.000,
  "relative_energy_ev_per_atom": 0.000,
  "e_form_raw_mev_per_atom": -255
}

***

[5]
{
  "formula": "CrOsCl",
  "functional": "GGA-PBE",
  "state": "relaxed",
  "lattice": [[4.0595, 0.0000, 0.0000], [-2.0297, 3.5156, 0.0000], [0.0000, 0.0000, 2.8534]],
  "species": ["Cr", "Os", "Cl"],
  "fractional_positions": [[0.0000, 0.0000, 0.0000], [0.6667, 0.3333, 0.5168], [0.3333, 0.6667, 0.8306]],
  "total_magnetization_mub_per_cell": 0.639,
  "relative_energy_ev_per_atom": 0.562,
  "e_form_raw_mev_per_atom": 849
}

***

[6]
{
  "formula": "K2IrW",
  "functional": "GGA-PBE",
  "state": "relaxed",
  "lattice": [[1.4225, 0.8213, 11.8626], [-1.4225, 0.8213, 11.8626], [0.0000, -1.6426, 11.8626]],
  "species": ["K", "K", "Ir", "W"],
  "fractional_positions": [[0.2442, 0.2442, 0.2442], [0.7558, 0.7558, 0.7558], [0.5000, 0.5000, 0.5000], [0.0000, 0.0000, 0.0000]],
  "total_magnetization_mub_per_cell": 0.131,
  "relative_energy_ev_per_atom": 0.573,
  "ef_mev_per_atom": 1195
}